Below is a relaxed MgP crystal, with properties calculated at the GGA-PBE level.

Cell and atoms, written as extended XYZ:
```
8
Lattice="-5.884 2.475 0.179 -1.731 -3.762 -4.862 -1.277 -3.252 2.971" Properties=species:S:1:pos:R:3 pbc="T T T"
Mg -2.739 -2.248 -3.638
Mg -6.294 -2.582 -1.992
Mg -2.598 -1.957 0.281
Mg -4.876 0.961 -1.044
P -2.834 -0.479 -1.743
P -5.992 0.052 1.021
P -2.900 -4.591 -2.732
P -4.781 -0.808 -2.940
```

Summary:
- formation enthalpy at 0 K (eV/f.u.) = -0.8
- ΔE to the lowest computed polymorph (meV/atom) = 134.9
- electronic total energy (eV/atom) = -3.887
- space group = P4_2/mnm (136)